No. 1
An optimized crystal structure of ZnSn2HgRu, computed with GGA-PBE.

Unit cell a=5.094 b=5.094 c=4.992 alpha=90.00 beta=90.00 gamma=90.00
Space group P4/mmm (No. 123)
Asymmetric unit:
Zn 0.000 0.000 0.000 x1
Sn 0.000 0.500 0.500 x2
Hg 0.500 0.500 0.000 x1
Ru 0.000 0.000 0.500 x1

Calculated values
raw total energy = -3.718 eV/atom
N(E_F) = 1.8 states/eV/cell
density = 7.75 g cm⁻³
energy of formation from the pure elements = 0.053 eV/atom

---

No. 2
An optimized crystal structure of CsH2Pb, computed with GGA-PBE.

Unit cell a=5.764 b=5.764 c=12.508 alpha=90.00 beta=90.00 gamma=90.00
Space group I-42d (No. 122)
Asymmetric unit:
Cs 0.000 0.000 0.000 x4
H 0.127 0.250 0.625 x8
Pb 0.000 0.000 0.500 x4

Calculated values
relative energy among the computed polymorphs = 243 meV/atom
raw total energy = -2.593 eV/atom
N(E_F) = 11.1 states/eV/cell
density = 5.47 g cm⁻³

---

No. 3
An optimized crystal structure of Ca3In7Rh4, computed with GGA-PBE.

Unit cell a=16.624 b=4.461 c=10.074 alpha=90.00 beta=122.71 gamma=90.00
Space group C2/m (No. 12)
Asymmetric unit:
Ca 0.000 0.000 0.000 x2
Ca 0.191 0.500 0.703 x4
In 0.000 0.000 0.500 x2
In 0.004 0.500 0.276 x4
In 0.164 0.000 0.428 x4
In 0.186 0.500 0.031 x4
Rh 0.115 0.000 0.826 x4
Rh 0.167 0.500 0.281 x4

Calculated values
raw total energy = -4.346 eV/atom
N(E_F) = 16.0 states/eV/cell
density = 7.06 g cm⁻³
energy of formation from the pure elements = -0.447 eV/atom

---

No. 4
An optimized crystal structure of Ce3Zn4Pd2, computed with GGA-PBE.

Unit cell a=10.521 b=4.574 c=8.585 alpha=90.00 beta=117.51 gamma=90.00
Space group C2/m (No. 12)
Asymmetric unit:
Ce 0.000 0.000 0.000 x2
Ce 0.179 0.500 0.654 x4
Zn 0.029 0.000 0.369 x4
Zn 0.225 0.500 0.056 x4
Pd 0.099 0.500 0.268 x4

Calculated values
raw total energy = -4.197 eV/atom
N(E_F) = 28.3 states/eV/cell
density = 8.11 g cm⁻³
energy of formation from the pure elements = -0.499 eV/atom

---

No. 5
An optimized crystal structure of Ba2AlPd2, computed with GGA-PBE.

Unit cell a=3.890 b=3.890 c=19.985 alpha=90.00 beta=90.00 gamma=90.00
Space group I4/mmm (No. 139)
Asymmetric unit:
Ba 0.000 0.000 0.120 x4
Al 0.000 0.000 0.500 x2
Pd 0.000 0.500 0.250 x4

Calculated values
raw total energy = -3.730 eV/atom
N(E_F) = 8.5 states/eV/cell
density = 5.65 g cm⁻³
energy of formation from the pure elements = -0.136 eV/atom

---

No. 6
An optimized crystal structure of MgTa2Sn2, computed with GGA-PBE.

Unit cell a=8.402 b=8.402 c=3.074 alpha=90.00 beta=90.00 gamma=90.00
Space group P4/mbm (No. 127)
Asymmetric unit:
Mg 0.000 0.000 0.000 x2
Ta 0.116 0.384 0.500 x4
Sn 0.176 0.676 0.000 x4

Calculated values
raw total energy = -6.429 eV/atom
N(E_F) = 4.2 states/eV/cell
density = 9.55 g cm⁻³
energy of formation from the pure elements = 0.232 eV/atom